[1]
# ZnInCoTc (PBE, optimized geometry)
data_ZnInCoTc
_chemical_formula_sum 'Zn4 In4 Co4 Tc4'
_space_group_name_H-M_alt 'F -4 3 m'
_space_group_IT_number 216
_space_group_name_Hall 'F -4 2 3'
_cell_length_a 6.2070
_cell_length_b 6.2070
_cell_length_c 6.2070
_cell_angle_alpha 90.00
_cell_angle_beta 90.00
_cell_angle_gamma 90.00
loop_
_atom_site_label
_atom_site_type_symbol
_atom_site_fract_x
_atom_site_fract_y
_atom_site_fract_z
_atom_site_occupancy
Zn1 Zn 0.0000 0.0000 0.0000 1
In1 In 0.2500 0.2500 0.2500 1
Co1 Co 0.0000 0.0000 0.5000 1
Tc1 Tc 0.2500 0.2500 0.7500 1
# * volume: 60 Å³/f.u.
# * offset from the most stable computed form: 0.00 eV per formula unit
# * ρ: 9.4 Mg/m³

---

[2]
# RbPrCdTe3 (PBE, optimized geometry)
data_RbPrCdTe3
_chemical_formula_sum 'Rb2 Pr2 Cd2 Te6'
_space_group_name_H-M_alt 'P 1 21/m 1'
_space_group_IT_number 11
_space_group_name_Hall '-P 2yb'
_cell_length_a 9.5419
_cell_length_b 4.6314
_cell_length_c 11.2585
_cell_angle_alpha 90.00
_cell_angle_beta 108.19
_cell_angle_gamma 90.00
loop_
_atom_site_label
_atom_site_type_symbol
_atom_site_fract_x
_atom_site_fract_y
_atom_site_fract_z
_atom_site_occupancy
Rb1 Rb 0.2425 0.2500 0.2719 1
Pr1 Pr 0.3137 0.7500 0.8677 1
Cd1 Cd 0.0813 0.2500 0.6130 1
Te1 Te 0.0766 0.2500 0.8625 1
Te2 Te 0.2299 0.7500 0.5516 1
Te3 Te 0.4663 0.7500 0.1574 1
# * volume: 236 Å³/f.u.
# * offset from the most stable computed form: 0.11 eV per formula unit
# * ρ: 5.1 Mg/m³

---

[3]
# YHo2Ga3AgPt2 (PBE, optimized geometry)
data_YHo2Ga3AgPt2
_chemical_formula_sum 'Y2 Ho4 Ga6 Ag2 Pt4'
_space_group_name_H-M_alt 'A m m 2'
_space_group_IT_number 38
_space_group_name_Hall 'A 2 -2'
_cell_length_a 3.7117
_cell_length_b 13.0150
_cell_length_c 7.5065
_cell_angle_alpha 90.00
_cell_angle_beta 90.00
_cell_angle_gamma 90.00
loop_
_atom_site_label
_atom_site_type_symbol
_atom_site_fract_x
_atom_site_fract_y
_atom_site_fract_z
_atom_site_occupancy
Y1 Y 0.0000 0.0000 0.0000 1
Ho1 Ho 0.0000 0.2041 0.3885 1
Ga1 Ga 0.5000 0.0000 0.3218 1
Ga2 Ga 0.5000 0.1356 0.7277 1
Ag1 Ag 0.0000 0.0000 0.5914 1
Pt1 Pt 0.5000 0.1681 0.0933 1
# * volume: 181 Å³/f.u.
# * VASP energy: -5.298 eV/atom
# * ρ: 10.3 Mg/m³

---

[4]
# KNaAsAu (PBE, optimized geometry)
data_KNaAsAu
_chemical_formula_sum 'K2 Na2 As2 Au2'
_space_group_name_H-M_alt 'P 1 21/m 1'
_space_group_IT_number 11
_space_group_name_Hall '-P 2yb'
_cell_length_a 5.8770
_cell_length_b 6.0050
_cell_length_c 6.2488
_cell_angle_alpha 90.00
_cell_angle_beta 104.31
_cell_angle_gamma 90.00
loop_
_atom_site_label
_atom_site_type_symbol
_atom_site_fract_x
_atom_site_fract_y
_atom_site_fract_z
_atom_site_occupancy
K1 K 0.0389 0.2500 0.1742 1
Na1 Na 0.3327 0.7500 0.4897 1
As1 As 0.2476 0.2500 0.7099 1
Au1 Au 0.5000 0.0000 0.0000 1
# * volume: 107 Å³/f.u.
# * offset from the most stable computed form: 0.00 eV per formula unit
# * ρ: 5.2 Mg/m³